1) This record from Alexandria via LeMat-Bulk describes crystalline La2PmSm7 at its relaxed geometry. The functional is PBE.

The calculation puts the total magnetization at 0.00 μB/cell.

The structure belongs to space group Cmmm (No. 65); the cell edges are 6.761, 29.512 and 3.506 Å and the angles 90.00°, 90.00° and 90.00°. The asymmetric unit holds La at (0.000, 0.204, 0.000), Pm at (0.000, 0.500, 0.500), Sm at (0.000, 0.000, 0.000), Sm at (0.000, 0.313, 0.500) and Sm at (0.246, 0.402, 0.000).

***

2) This record from Alexandria via LeMat-Bulk describes crystalline La2PmSm7 at its relaxed geometry. The functional is PBE.

The calculation puts the total magnetization at 0.00 μB/cell.

The structure belongs to space group C2/m (No. 12); the cell edges are 18.167, 7.132 and 5.602 Å and the angles 90.00°, 107.89° and 90.00°. The asymmetric unit holds La at (0.199, 0.000, 0.199), Pm at (0.000, 0.500, 0.000), Sm at (0.000, 0.000, 0.000), Sm at (0.104, 0.251, 0.604) and Sm at (0.198, 0.500, 0.198).

***

Least stable: 1)

***

1) This record from Alexandria via LeMat-Bulk describes crystalline La4PmSm7 at its relaxed geometry. The functional is PBE.

The calculation puts the total magnetization at 0.00 μB/cell.

The structure belongs to space group C2/m (No. 12); the cell edges are 12.244, 6.101 and 13.097 Å and the angles 90.00°, 117.44° and 90.00°. The asymmetric unit holds La at (0.056, 0.000, 0.332), La at (0.141, 0.500, 0.777), Pm at (0.000, 0.500, 0.000), Sm at (0.000, 0.000, 0.000), Sm at (0.136, 0.500, 0.503), Sm at (0.212, 0.000, 0.923) and Sm at (0.246, 0.500, 0.315).

***

2) This record from Alexandria via LeMat-Bulk describes crystalline La4PmSm7 at its relaxed geometry. The functional is PBE.

The calculation puts the total magnetization at 0.00 μB/cell.

The structure belongs to space group P-3m1 (No. 164); the cell edges are 3.6691, 3.6691 and 35.9913 Å and the angles 90.00°, 90.00° and 120.00°. The asymmetric unit holds La at (0.3333, 0.6667, 0.1663), La at (0.3333, 0.6667, 0.4163), Pm at (0.0000, 0.0000, 0.0000), Sm at (0.0000, 0.0000, 0.2506), Sm at (0.0000, 0.0000, 0.5000), Sm at (0.3333, 0.6667, 0.6679) and Sm at (0.3333, 0.6667, 0.9179).

***

Least stable: 1)

***

1) This record from Alexandria via LeMat-Bulk describes crystalline La4PmSm2 at its relaxed geometry. The functional is PBE.

The calculation puts the total magnetization at 0.00 μB/cell.

The structure belongs to space group P-1 (No. 2); the cell edges are 7.081, 7.270 and 10.585 Å and the angles 90.01°, 90.00° and 109.05°. The asymmetric unit holds La at (0.193, 0.226, 0.210), La at (0.194, 0.228, 0.789), La at (0.306, 0.773, 0.290), La at (0.307, 0.774, 0.710), Pm at (0.500, 0.000, 0.000), Pm at (0.500, 0.500, 0.000), Sm at (0.000, 0.000, 0.500), Sm at (0.000, 0.500, 0.000), Sm at (0.000, 0.500, 0.500) and Sm at (0.500, 0.500, 0.500).

***

2) This record from Alexandria via LeMat-Bulk describes crystalline La4PmSm2 at its relaxed geometry. The functional is PBE.

The calculation puts the total magnetization at 0.00 μB/cell.

The structure belongs to space group Imma (No. 74); the cell edges are 6.988, 11.736 and 12.326 Å and the angles 90.00°, 90.00° and 90.00°. The asymmetric unit holds La at (0.000, 0.000, 0.148), La at (0.219, 0.250, 0.006), Pm at (0.250, 0.250, 0.750), Sm at (0.000, 0.000, 0.500) and Sm at (0.000, 0.250, 0.282).

***

Least stable: 2)

***

1) This record from Alexandria via LeMat-Bulk describes crystalline LaPmSm at its relaxed geometry. The functional is PBE.

The calculation puts the total magnetization at 0.00 μB/cell.

The structure belongs to space group P3m1 (No. 156); the cell edges are 3.6754, 3.6754 and 8.9980 Å and the angles 90.00°, 90.00° and 120.00°. The asymmetric unit holds La at (0.0000, 0.0000, 0.0000), Pm at (0.3333, 0.6667, 0.6620) and Sm at (0.6667, 0.3333, 0.3356).

***

2) This record from Alexandria via LeMat-Bulk describes crystalline LaPmSm at its relaxed geometry. The functional is PBE.

The calculation puts the total magnetization at 0.00 μB/cell.

The structure belongs to space group Imm2 (No. 44); the cell edges are 3.681, 5.209 and 11.011 Å and the angles 90.00°, 90.00° and 90.00°. The asymmetric unit holds La at (0.000, 0.000, 0.000), Pm at (0.000, 0.000, 0.668) and Sm at (0.000, 0.000, 0.332).

***

Least stable: 2)

***

1) This record from Alexandria via LeMat-Bulk describes crystalline LaPmSm at its relaxed geometry. The functional is PBE.

The calculation puts the total magnetization at 0.00 μB/cell.

The structure belongs to space group Pmma (No. 51); the cell edges are 6.624, 3.526 and 9.056 Å and the angles 90.00°, 90.00° and 90.00°. The asymmetric unit holds La at (0.250, 0.000, 0.149), Pm at (0.250, 0.500, 0.800) and Sm at (0.000, 0.000, 0.500).

***

2) This record from Alexandria via LeMat-Bulk describes crystalline LaPmSm at its relaxed geometry. The functional is PBE.

The calculation puts the total magnetization at 0.00 μB/cell.

The structure belongs to space group I4mm (No. 107); the cell edges are 3.683, 3.683 and 15.589 Å and the angles 90.00°, 90.00° and 90.00°. The asymmetric unit holds La at (0.000, 0.000, 0.000), Pm at (0.000, 0.000, 0.669) and Sm at (0.000, 0.000, 0.332).

***

Least stable: 1)

***

1) This record from Alexandria via LeMat-Bulk describes crystalline La2PmSm4 at its relaxed geometry. The functional is PBE.

The calculation puts the total magnetization at 0.00 μB/cell.

The structure belongs to space group P2/m (No. 10); the cell edges are 7.005, 10.654 and 7.113 Å and the angles 90.00°, 106.62° and 90.00°. The asymmetric unit holds La at (0.000, 0.000, 0.000), La at (0.000, 0.000, 0.500), La at (0.000, 0.500, 0.000), La at (0.500, 0.000, 0.000), Pm at (0.000, 0.500, 0.500), Pm at (0.500, 0.500, 0.500), Sm at (0.269, 0.220, 0.312) and Sm at (0.273, 0.287, 0.811).

***

2) This record from Alexandria via LeMat-Bulk describes crystalline La2PmSm4 at its relaxed geometry. The functional is PBE.

The calculation puts the total magnetization at 0.00 μB/cell.

The structure belongs to space group I4/mmm (No. 139); the cell edges are 4.662, 4.662 and 23.052 Å and the angles 90.00°, 90.00° and 90.00°. The asymmetric unit holds La at (0.000, 0.000, 0.097), Pm at (0.000, 0.000, 0.500), Sm at (0.000, 0.000, 0.362) and Sm at (0.000, 0.500, 0.250).

***

Least stable: 2)